Entry 1:
! MnTlOs2 | the Alexandria database | GGA-PBE | optimized geometry; values from VASP
&SYSTEM
  ibrav = 0, nat = 4, ntyp = 3
/
ATOMIC_SPECIES
Mn 54.94 Mn.upf
Tl 204.38 Tl.upf
Os 190.23 Os.upf
ATOMIC_POSITIONS crystal
Mn 0.0000 0.0000 0.0000
Tl 0.7500 0.2500 0.5000
Os 0.2500 0.7500 0.5000
Os 0.5000 0.5000 0.0000
CELL_PARAMETERS angstrom
-1.9886 1.9886 3.9939
1.9886 -1.9886 3.9939
1.9886 1.9886 -3.9939
! Formation enthalpy at 0 K: 751 meV per atom
! Distance to the lowest polymorph of the same formula: 267 meV/atom


Entry 2:
Entry from the Alexandria database: an optimized crystal structure of Ce4H2N (GGA-PBE). Values from VASP.

Cell and atoms, written as Quantum ESPRESSO input:
```
&SYSTEM
  ibrav = 0, nat = 7, ntyp = 3
/
ATOMIC_SPECIES
Ce 140.12 Ce.upf
H 1.01 H.upf
N 14.01 N.upf
ATOMIC_POSITIONS crystal
Ce 0.0000 0.5000 0.5000
Ce 0.2255 0.2255 0.0000
Ce 0.5000 0.0000 0.5000
Ce 0.7745 0.7745 0.0000
H 0.4213 0.4213 0.0000
H 0.5787 0.5787 0.0000
N 0.0000 0.0000 0.0000
CELL_PARAMETERS angstrom
-2.3775 2.3775 5.6940
2.3775 -2.3775 5.6940
2.3775 2.3775 -5.6940
```


Entry 3:
! Li8HfO6 | the Alexandria database | GGA-PBE | optimized geometry; values from VASP
&SYSTEM
  ibrav = 0, nat = 15, ntyp = 3
/
ATOMIC_SPECIES
Li 6.94 Li.upf
Hf 178.49 Hf.upf
O 16.00 O.upf
ATOMIC_POSITIONS crystal
Li 0.0041 0.7350 0.3971
Li 0.1562 0.1562 0.1562
Li 0.2650 0.6029 0.9959
Li 0.3971 0.0041 0.7350
Li 0.6029 0.9959 0.2650
Li 0.7350 0.3971 0.0041
Li 0.8438 0.8438 0.8438
Li 0.9959 0.2650 0.6029
Hf 0.5000 0.5000 0.5000
O 0.1158 0.4085 0.7337
O 0.2663 0.8842 0.5915
O 0.4085 0.7337 0.1158
O 0.5915 0.2663 0.8842
O 0.7337 0.1158 0.4085
O 0.8842 0.5915 0.2663
CELL_PARAMETERS angstrom
2.7573 1.5919 5.1725
-2.7573 1.5919 5.1725
0.0000 -3.1838 5.1725
! Uncorrected formation energy: -2.230 eV per atom
! Distance to the lowest polymorph of the same formula: 0 meV/atom


Values for size of the total moment, μB/cell, ordered as above
3.01, 0.60, 0.00
Values for energy, eV/atom, ordered as above
-7.75, -6.02, -5.90